--- w ---
DFT (PBE) results for an optimized crystal structure of TlAgW2.

The magnetization comes out at 0.00 μB/f.u.

It has space group C2/m (No. 12), with a = 10.095 Å, b = 3.193 Å, c = 4.619 Å, α = 90.00°, β = 104.77° and γ = 90.00°. The asymmetric unit holds Tl at (0.000, 0.000, 0.000), Ag at (0.000, 0.500, 0.500) and W at (0.250, 0.000, 0.737).

---

--- x ---
DFT (PBE) results for an optimized crystal structure of TlAgW2.

The magnetization comes out at 0.00 μB/f.u.

It has space group Pmmm (No. 47), with a = 2.809 Å, b = 4.626 Å, c = 5.533 Å, α = 90.00°, β = 90.00° and γ = 90.00°. The asymmetric unit holds Tl at (0.000, 0.000, 0.000), Ag at (0.000, 0.000, 0.500) and W at (0.500, 0.500, 0.257).

---

Computed energies relative to the best structure, in meV per atom: w 0; x 112

---

--- w ---
DFT (PBE) results for an optimized crystal structure of TlAgW2.

The magnetization comes out at 0.00 μB/f.u.

It has space group P4/mmm (No. 123), with a = 3.929 Å, b = 3.929 Å, c = 4.644 Å, α = 90.00°, β = 90.00° and γ = 90.00°. The asymmetric unit holds Tl at (0.000, 0.000, 0.000), Ag at (0.500, 0.500, 0.000) and W at (0.000, 0.500, 0.500).

---

--- x ---
DFT (PBE) results for an optimized crystal structure of TlAgW2.

The magnetization comes out at 0.00 μB/f.u.

It has space group P4mm (No. 99), with a = 3.263 Å, b = 3.263 Å, c = 7.277 Å, α = 90.00°, β = 90.00° and γ = 90.00°. The asymmetric unit holds Tl at (0.000, 0.000, 0.000), Ag at (0.500, 0.500, 0.724), W at (0.000, 0.000, 0.467) and W at (0.500, 0.500, 0.298).

---

Computed energies relative to the best structure, in meV per atom: w 256; x 0

---

--- w ---
DFT (PBE) results for an optimized crystal structure of TlAgW2.

The magnetization comes out at 0.00 μB/f.u.

It has space group Cmmm (No. 65), with a = 3.244 Å, b = 4.639 Å, c = 9.641 Å, α = 90.00°, β = 90.00° and γ = 90.00°. The asymmetric unit holds Tl at (0.000, 0.000, 0.000), Ag at (0.000, 0.000, 0.500) and W at (0.000, 0.500, 0.255).

---

--- x ---
DFT (PBE) results for an optimized crystal structure of TlAgW2.

The magnetization comes out at 0.00 μB/f.u.

It has space group P2/m (No. 10), with a = 2.817 Å, b = 4.864 Å, c = 5.382 Å, α = 90.00°, β = 100.60° and γ = 90.00°. The asymmetric unit holds Tl at (0.000, 0.000, 0.000), Ag at (0.500, 0.000, 0.500) and W at (0.228, 0.500, 0.736).

---

--- y ---
DFT (PBE) results for an optimized crystal structure of TlAgW2.

The magnetization comes out at 0.00 μB/f.u.

It has space group Cmm2 (No. 35), with a = 3.245 Å, b = 4.854 Å, c = 9.648 Å, α = 90.00°, β = 90.00° and γ = 90.00°. The asymmetric unit holds Tl at (0.000, 0.000, 0.000), Ag at (0.000, 0.500, 0.274), W at (0.000, 0.000, 0.520) and W at (0.000, 0.500, 0.728).

---

Computed energies relative to the best structure, in meV per atom: w 429; x 333; y 0

---

--- w ---
DFT (PBE) results for an optimized crystal structure of TlAgW2.

The magnetization comes out at 0.00 μB/f.u.

It has space group R-3m (No. 166, hexagonal axes), with a = 2.9236 Å, b = 2.9236 Å, c = 29.3231 Å, α = 90.00°, β = 90.00° and γ = 120.00°. The asymmetric unit holds Tl at (0.0000, 0.0000, 0.0000), Ag at (0.0000, 0.0000, 0.5000) and W at (0.0000, 0.0000, 0.2478).

---

--- x ---
DFT (PBE) results for an optimized crystal structure of TlAgW2.

The magnetization comes out at 0.00 μB/f.u.

It has space group Fm-3m (No. 225), with a = 6.566 Å, b = 6.566 Å, c = 6.566 Å, α = 90.00°, β = 90.00° and γ = 90.00°. The asymmetric unit holds Tl at (0.000, 0.000, 0.000), Ag at (0.000, 0.000, 0.500) and W at (0.250, 0.250, 0.250).

---

Computed energies relative to the best structure, in meV per atom: w 0; x 297